Below is a relaxed structure of GaHO, with properties calculated at the PBE-GGA level.

Output
The distance to the lowest polymorph of the same formula comes out at 65.6 meV per atom. Its symmetry is No. 6.

abc: 2.6032 3.2210 4.6524
angles: 90.00 93.09 90.00
Last column: nearest neighbours and their distance in Å.
Element x y z (fractional)
Ga  0.0000  0.0000  0.0000  2 O 2.08
H  0.6130  0.5000  0.6305  1 O 0.99
O  0.9715  0.5000  0.7156  1 H 0.99